## Y2ZrBe (PBE-GGA)

Data for a relaxed structure of Y2ZrBe.

Summary:
Its formation energy is 0.431 eV per atom. The calculation puts the total energy at -5.870 eV per atom. Its total moment is 0.0 μB/f.u. The density of states at the Fermi level is 0.464 states/eV/atom.

Lattice parameters (Å, degrees): 8.053 8.053 6.429 51.22 51.22 90.00
Positions (direct):
Y  0.574  0.125  0.250
Y  0.176  0.625  0.250
Y  0.375  0.426  0.750
Y  0.875  0.824  0.750
Be  0.500  0.500  0.000
Be  0.250  0.750  0.500
Zr  0.000  0.000  0.000
Zr  0.750  0.250  0.500